Ac2PdAu6 | PBE-GGA | optimized geometry

Computed properties:
calculated volume: 23.22 Å³ per atom
size of the total moment: 0.00 μB/cell
formation energy from the elements: -603 meV per atom
calculated total energy: -4.278 eV per atom

Cell: 6.3695 6.3695 5.9466 Å, 90.00 90.00 120.00°
Last column: nearest neighbours and their distance in Å.
Space group P-3m1 (No. 164)
One atom of each set of equivalent atoms:
Ac (0.3333, 0.6667, 0.3330) [2 per cell]  12 Au 3.31-3.49
Pd (0.0000, 0.0000, 0.5000) [1 per cell]  6 Au 2.74
Au (0.1797, 0.3594, 0.8193) [6 per cell]  1 Pd 2.74, 4 Au 2.92-2.94

=====

CrFeRu | PBE-GGA | optimized geometry

Computed properties:
calculated volume: 12.71 Å³ per atom
size of the total moment: 10.59 μB/cell
formation energy from the elements: 157 meV per atom
calculated total energy: -8.964 eV per atom

Cell: 4.1895 8.6044 4.2295 Å, 90.00 90.00 90.00°
Last column: nearest neighbours and their distance in Å.
Space group Cmcm (No. 63)
One atom of each set of equivalent atoms:
Cr (0.0000, 0.2423, 0.2500) [4 per cell]  4 Ru 2.43-2.48, 4 Fe 2.53-2.62
Fe (0.0000, 0.4217, 0.7500) [4 per cell]  2 Fe 2.51, 4 Cr 2.53-2.62, 3 Ru 2.61-2.74
Ru (0.0000, 0.1036, 0.7500) [4 per cell]  4 Cr 2.43-2.48, 2 Fe 2.61

=====

Ac8Pd2Ru | PBE-GGA | optimized geometry

Computed properties:
calculated volume: 38.64 Å³ per atom
size of the total moment: 0.00 μB/cell
formation energy from the elements: -291 meV per atom
calculated total energy: -5.067 eV per atom

Cell: 13.8754 7.7426 7.9150 Å, 90.00 91.25 90.00°
Last column: nearest neighbours and their distance in Å.
Space group C2/m (No. 12)
One atom of each set of equivalent atoms:
Ac (0.0407, 0.2456, 0.2535) [8 per cell]  1 Ru 2.86, 1 Pd 3.20
Ac (0.2053, 0.0000, 0.5997) [4 per cell]  1 Pd 2.95
Ac (0.2047, 0.5000, 0.8956) [4 per cell]  1 Ru 2.98, 1 Pd 3.02
Pd (0.1029, 0.5000, 0.5548) [4 per cell]  6 Ac 2.95-3.21, 1 Pd 2.97
Ru (0.0000, 0.5000, 0.0000) [2 per cell]  6 Ac 2.86-2.98

=====

NbH8N2OF5 | PBE-GGA | optimized geometry

Computed properties:
calculated volume: 9.89 Å³ per atom
size of the total moment: 0.47 μB/cell
calculated total energy: -5.554 eV per atom

Cell: 20.8747 6.1592 14.4389 Å, 90.00 133.56 90.00°
Last column: nearest neighbours and their distance in Å.
Space group C2/c (No. 15)
One atom of each set of equivalent atoms:
Nb (0.1237, 0.2490, 0.2791) [8 per cell]  1 O 1.78, 4 F 1.96-1.99
H (0.0589, 0.1534, 0.8906) [8 per cell]  1 N 1.04
H (0.1020, 0.3572, 0.6139) [8 per cell]  1 N 1.04
H (0.1105, 0.3959, 0.9210) [8 per cell]  1 N 1.04
H (0.1283, 0.2835, 0.5298) [8 per cell]  1 N 1.04
H (0.1442, 0.2258, 0.0422) [8 per cell]  1 N 1.05
H (0.1452, 0.1054, 0.6350) [8 per cell]  1 N 1.05
H (0.1618, 0.1580, 0.9473) [8 per cell]  1 N 1.03
H (0.2095, 0.3246, 0.6900) [8 per cell]  1 N 1.04
N (0.1190, 0.2346, 0.9497) [8 per cell]  4 H 1.03-1.05
N (0.1455, 0.2694, 0.6164) [8 per cell]  4 H 1.04-1.05
O (0.1042, 0.3241, 0.3771) [8 per cell]  1 Nb 1.78, 2 H 1.81-1.91
F (0.0321, 0.0210, 0.1688) [8 per cell]  1 H 1.80, 1 Nb 1.99
F (0.0453, 0.4597, 0.1372) [8 per cell]  1 H 1.83, 1 Nb 1.98
F (0.1644, 0.1626, 0.1758) [8 per cell]  2 H 1.71
F (0.2046, 0.0031, 0.3847) [8 per cell]  1 H 1.93, 1 Nb 1.98
F (0.2213, 0.4525, 0.3554) [8 per cell]  1 Nb 1.96

=====

CaAl2Zn2 | PBE-GGA | optimized geometry

Computed properties:
calculated volume: 19.42 Å³ per atom
size of the total moment: 0.00 μB/cell
formation energy from the elements: -291 meV per atom
calculated total energy: -2.698 eV per atom

Cell: 5.7925 5.8001 6.4518 Å, 90.00 116.36 90.00°
Last column: nearest neighbours and their distance in Å.
Space group C2/m (No. 12)
One atom of each set of equivalent atoms:
Ca (0.0000, 0.0000, 0.0000) [2 per cell]  8 Zn 3.15-3.16
Al (0.0000, 0.2491, 0.5000) [4 per cell]  4 Zn 2.62-2.63, 4 Al 2.89-2.91
Zn (0.1083, 0.5000, 0.2161) [4 per cell]  1 Zn 2.50, 4 Al 2.62-2.63

=====

Dy3ErTm2As6 | PBE-GGA | optimized geometry

Computed properties:
calculated volume: 24.26 Å³ per atom
size of the total moment: 0.00 μB/cell
formation energy from the elements: -1523 meV per atom
calculated total energy: -6.124 eV per atom

Cell: 7.0922 12.2815 7.0888 Å, 90.00 109.45 90.00°
Last column: nearest neighbours and their distance in Å.
Space group C2/m (No. 12)
One atom of each set of equivalent atoms:
Dy (0.0000, 0.0000, 0.0000) [2 per cell]  6 As 2.90-2.91
Dy (0.0000, 0.3335, 0.0000) [4 per cell]  6 As 2.90-2.91
Er (0.0000, 0.5000, 0.5000) [2 per cell]  6 As 2.89
Tm (0.0000, 0.1667, 0.5000) [4 per cell]  6 As 2.88
As (0.2482, 0.0000, 0.7467) [4 per cell]  2 Tm 2.88, 1 Er 2.89, 3 Dy 2.90-2.91
As (0.2493, 0.3330, 0.7469) [8 per cell]  2 Tm 2.88, 1 Er 2.89, 3 Dy 2.90-2.91

=====

RbAsWBr2 | PBE-GGA | optimized geometry

Computed properties:
calculated volume: 49.77 Å³ per atom
formation energy without anion corrections: 1576 meV per atom
size of the total moment: 1.92 μB/cell
calculated total energy: -2.807 eV per atom

Cell: 6.2229 6.2229 6.4256 Å, 90.00 90.00 90.00°
Last column: nearest neighbours and their distance in Å.
Space group P4/mmm (No. 123)
One atom of each set of equivalent atoms:
Rb (0.0000, 0.0000, 0.0000) [1 per cell]  4 Br 3.11, 2 As 3.21
As (0.0000, 0.0000, 0.5000) [1 per cell]  2 Rb 3.21
W (0.5000, 0.5000, 0.5000) [1 per cell]  4 As 4.40, 8 Br 4.47
Br (0.0000, 0.5000, 0.0000) [2 per cell]  2 Rb 3.11

=====

LaGdTlPt | PBE-GGA | optimized geometry

Computed properties:
calculated volume: 26.43 Å³ per atom
size of the total moment: 28.83 μB/cell
formation energy from the elements: -646 meV per atom
calculated total energy: -7.500 eV per atom

Cell: 7.5060 7.5060 7.5060 Å, 90.00 90.00 90.00°
Last column: nearest neighbours and their distance in Å.
Space group F-43m (No. 216)
One atom of each set of equivalent atoms:
La (0.0000, 0.0000, 0.0000) [4 per cell]  4 Tl 3.25, 4 Pt 3.25
Gd (0.0000, 0.0000, 0.5000) [4 per cell]  4 Pt 3.25, 4 Tl 3.25
Tl (0.2500, 0.2500, 0.7500) [4 per cell]  4 Gd 3.25, 4 La 3.25
Pt (0.2500, 0.2500, 0.2500) [4 per cell]  4 Gd 3.25, 4 La 3.25

=====

PuGa4Ni2Pd | PBE-GGA | optimized geometry

Computed properties:
calculated volume: 16.46 Å³ per atom
size of the total moment: 16.01 μB/cell
formation energy from the elements: -379 meV per atom
calculated total energy: -5.779 eV per atom

Cell: 4.1570 4.1570 26.3991 Å, 90.00 90.00 120.00°
Last column: nearest neighbours and their distance in Å.
Space group R-3m (No. 166, hexagonal axes)
One atom of each set of equivalent atoms:
Pu (0.0000, 0.0000, 0.0000) [3 per cell]  8 Ga 2.99-3.32
Ga (0.0000, 0.0000, 0.1257) [6 per cell]  3 Ni 2.48, 3 Pd 2.63
Ga (0.0000, 0.0000, 0.4006) [6 per cell]  3 Ni 2.57, 1 Pd 2.62, 3 Ga 2.85
Ni (0.0000, 0.0000, 0.2316) [6 per cell]  6 Ga 2.48-2.57
Pd (0.0000, 0.0000, 0.5000) [3 per cell]  8 Ga 2.62-2.63

=====

Cs2TcSnCl6 | PBE-GGA | optimized geometry

Computed properties:
calculated volume: 29.65 Å³ per atom
formation energy without anion corrections: -1136 meV per atom
size of the total moment: 2.00 μB/cell
calculated total energy: -3.852 eV per atom

Cell: 7.4865 7.4865 10.5795 Å, 90.00 90.00 90.00°
Last column: nearest neighbours and their distance in Å.
Space group I4/mmm (No. 139)
One atom of each set of equivalent atoms:
Cs (0.0000, 0.5000, 0.2500) [4 per cell]  12 Cl 3.75
Tc (0.0000, 0.0000, 0.0000) [2 per cell]  6 Cl 2.47
Sn (0.0000, 0.0000, 0.5000) [2 per cell]  6 Cl 2.82-2.83
Cl (0.0000, 0.0000, 0.2333) [4 per cell]  1 Tc 2.47
Cl (0.2332, 0.2332, 0.0000) [8 per cell]  1 Tc 2.47

=====

CsK2CoH6 | PBE-GGA | optimized geometry

Computed properties:
calculated volume: 15.48 Å³ per atom
size of the total moment: 0.42 μB/cell
calculated total energy: -3.211 eV per atom

Cell: 6.1591 6.1591 14.1352 Å, 90.00 90.00 120.00°
Last column: nearest neighbours and their distance in Å.
Space group R-3 (No. 148, hexagonal axes)
One atom of each set of equivalent atoms:
Cs (0.0000, 0.0000, 0.0000) [3 per cell]  6 H 2.84
K (0.0000, 0.0000, 0.2588) [6 per cell]  6 H 2.67-2.82
Co (0.0000, 0.0000, 0.5000) [3 per cell]  6 H 1.56
H (0.0273, 0.2194, 0.5636) [18 per cell]  1 Co 1.56